Na2GeBiTe4, relaxed, DFT PBE; volume = 250 Å³/cell; DOS(E_F) = 3.30 states/eV per cell; symmetry = No. 10; raw formation energy = -0.423 eV/atom; calculated total energy = -3.3863 eV/atom; total moment = 0.00 μB/cell
1.0
4.300 0.000 0.000
0.000 7.527 0.149
0.000 -2.625 7.678
Na Ge Bi Te
2 1 1 4
direct
0.500 0.000 0.500
0.000 0.500 0.500
0.500 0.500 0.000
0.000 0.000 0.000
0.500 0.259 0.232
0.500 0.741 0.768
0.000 0.275 0.777
0.000 0.725 0.223